1.
The following is a PBE-GGA calculation of a relaxed Ce2LuGe crystal, from Alexandria via LeMat-Bulk.

Lattice parameters (Å, degrees): 3.806 3.806 9.548 78.50 78.50 60.00
Atoms (fractional coordinates):
Lu  0.500  0.500  0.500
Ce  0.265  0.265  0.206
Ce  0.735  0.735  0.794
Ge  0.000  0.000  0.000

Values from the calculation:
As for the density of states at the Fermi level: 8.81 states/eV/f.u. The value obtained for the calculated density is 7.52 Mg/m³. As for the magnetic moment: 0.7 μB/f.u. The formation energy comes out at -91 meV/atom. The calculation puts the uncorrected energy at -5.342 eV per atom. Its crystal system is trigonal.

2.
The following is a PBE-GGA calculation of a relaxed Ce2LuGe crystal, from Alexandria via LeMat-Bulk.

Lattice parameters (Å, degrees): 5.062 4.323 4.323 90.00 90.00 90.00
Atoms (fractional coordinates):
Ce  0.000  0.500  0.000
Ce  0.000  0.000  0.500
Ge  0.500  0.000  0.000
Lu  0.500  0.500  0.500

Values from the calculation:
As for the density of states at the Fermi level: 9.07 states/eV/f.u. The value obtained for the calculated density is 9.27 Mg/m³. As for the magnetic moment: 0.0 μB/f.u. The formation energy comes out at -376 meV/atom. The calculation puts the uncorrected energy at -5.628 eV per atom. Its crystal system is tetragonal.

3.
The following is a PBE-GGA calculation of a relaxed CeLuGePt crystal, from Alexandria via LeMat-Bulk.

Lattice parameters (Å, degrees): 5.023 5.023 5.023 60.00 60.00 60.00
Atoms (fractional coordinates):
Ce  0.500  0.500  0.500
Lu  0.000  0.000  0.000
Pt  0.750  0.750  0.750
Ge  0.250  0.250  0.250

Values from the calculation:
As for the density of states at the Fermi level: 6.71 states/eV/f.u. The value obtained for the calculated density is 10.80 Mg/m³. As for the magnetic moment: 0.8 μB/f.u. The formation energy comes out at -841 meV/atom. The calculation puts the uncorrected energy at -6.119 eV per atom. Its crystal system is cubic.